1.
YSb2: relaxed, PBE.

Calculated values
- Uncorrected formation energy: -0.680 eV per atom
- Size of the total moment: 0.00 μB/cell

Cell lengths 4.4486, 4.2924, 8.8579 Å; angles 90.00, 99.85, 90.00 degrees
Space group P2/m (No. 10)
Unique sites:
Y: 0.1271 0.0000 0.2903
Sb: 0.0000 0.5000 0.0000
Sb: 0.3532 0.5000 0.6347
Sb: 0.5000 0.0000 0.0000

=====

2.
Cs2Rb2Ag: relaxed, PBE.

Calculated values
- Energy relative to the elements: 0.035 eV/atom
- Energy relative to the lowest polymorph listed for this composition: 0.000 kcal/mol of atoms
- Size of the total moment: 0.00 μB/cell

Cell lengths 10.8379, 16.4805, 9.8870 Å; angles 90.00, 116.41, 90.00 degrees
Space group C2/m (No. 12)
Unique sites:
Cs: 0.2476 0.0000 0.3686
Cs: 0.2495 0.0000 0.8729
Rb: 0.0173 0.2575 0.7616
Ag: 0.0000 0.0875 0.0000

=====

3.
In2ReHg: relaxed, PBE.

Calculated values
- Energy relative to the elements: 0.611 eV/atom
- Size of the total moment: 0.00 μB/cell

Cell lengths 3.6675, 4.5090, 9.6399 Å; angles 90.00, 90.00, 90.00 degrees
Space group Imm2 (No. 44)
Unique sites:
In: 0.0000 0.0000 0.0000
In: 0.0000 0.5000 0.2343
Re: 0.0000 0.5000 0.7308
Hg: 0.0000 0.0000 0.4739

=====

4.
Li2In2Pb: relaxed, PBE.

Calculated values
- Energy relative to the elements: -0.173 eV/atom
- Energy relative to the lowest polymorph listed for this composition: 0.000 kcal/mol of atoms
- Size of the total moment: 0.00 μB/cell

Cell lengths 8.4515, 8.4515, 3.2290 Å; angles 90.00, 90.00, 90.00 degrees
Space group P4/mbm (No. 127)
Unique sites:
Li: 0.1742 0.3258 0.0000
In: 0.1254 0.6254 0.5000
Pb: 0.0000 0.0000 0.5000

=====

5.
Ce3Pr4HfN8: relaxed, PBE.

Calculated values
- Uncorrected formation energy: -1.448 eV per atom
- Size of the total moment: 0.00 μB/cell

Cell lengths 7.1200, 7.1200, 17.6094 Å; angles 90.00, 90.00, 120.00 degrees
Space group R-3m (No. 166, hexagonal axes)
Unique sites:
Ce: 0.0000 0.5000 0.0000
Pr: 0.0000 0.0000 0.5000
Pr: 0.0000 0.5000 0.5000
Hf: 0.0000 0.0000 0.0000
N: 0.0000 0.0000 0.2569
N: 0.0176 0.5088 0.7395

=====

6.
CrSiRu: relaxed, PBE.

Calculated values
- Uncorrected formation energy: -0.209 eV per atom
- Size of the total moment: 0.41 μB/cell

Cell lengths 2.7537, 3.6406, 7.5747 Å; angles 90.00, 90.00, 90.00 degrees
Space group Imm2 (No. 44)
Unique sites:
Cr: 0.0000 0.0000 0.0000
Si: 0.0000 0.0000 0.3373
Ru: 0.0000 0.0000 0.6732

=====

7.
RbLiZr2: relaxed, PBE.

Calculated values
- Energy relative to the elements: 0.910 eV/atom
- Energy relative to the lowest polymorph listed for this composition: 0.000 kcal/mol of atoms
- Size of the total moment: 0.00 μB/cell

Cell lengths 4.1790, 4.1790, 26.0505 Å; angles 90.00, 90.00, 90.00 degrees
Space group I-42d (No. 122)
Unique sites:
Rb: 0.0000 0.0000 0.0000
Li: 0.0000 0.0000 0.5000
Zr: 0.2387 0.2500 0.6250

=====

8.
Tb5Nd4Tl: relaxed, PBE.

Calculated values
- Energy relative to the elements: 0.096 eV/atom
- Energy relative to the lowest polymorph listed for this composition: 1.550 kcal/mol of atoms
- Size of the total moment: 0.00 μB/cell

Cell lengths 10.7874, 10.7874, 5.8889 Å; angles 90.00, 90.00, 90.00 degrees
Space group I4mm (No. 107)
Unique sites:
Tb: 0.0000 0.0000 0.0000
Tb: 0.1847 0.1847 0.2945
Nd: 0.0000 0.3126 0.8039
Tl: 0.0000 0.0000 0.5183

=====

9.
NdSmTe2: relaxed, PBE.

Calculated values
- Energy relative to the lowest polymorph listed for this composition: 2.691 kcal/mol of atoms
- Uncorrected formation energy: -1.299 eV per atom
- Size of the total moment: 0.00 μB/cell

Cell lengths 5.4579, 5.4579, 3.8574 Å; angles 90.00, 90.00, 90.00 degrees
Space group P4/mmm (No. 123)
Unique sites:
Nd: 0.0000 0.0000 0.0000
Sm: 0.5000 0.5000 0.0000
Te: 0.0000 0.5000 0.5000

=====

10.
LiIn2Sb: relaxed, PBE.

Calculated values
- Uncorrected formation energy: -0.122 eV per atom
- Size of the total moment: 0.00 μB/cell

Cell lengths 3.3972, 5.8401, 5.1083 Å; angles 90.00, 90.84, 90.00 degrees
Space group P2/m (No. 10)
Unique sites:
Li: 0.0000 0.0000 0.0000
In: 0.2550 0.5000 0.7503
Sb: 0.5000 0.0000 0.5000

=====

11.
CeNdIr: relaxed, PBE.

Calculated values
- Energy relative to the elements: -0.454 eV/atom
- Energy relative to the lowest polymorph listed for this composition: 1.969 kcal/mol of atoms
- Size of the total moment: 1.10 μB/cell

Cell lengths 4.1336, 4.1336, 6.2892 Å; angles 90.00, 90.00, 120.00 degrees
Space group P3m1 (No. 156)
Unique sites:
Ce: 0.0000 0.0000 0.0000
Nd: 0.3333 0.6667 0.5189
Ir: 0.6667 0.3333 0.7762

=====

12.
Ca3Nd13: relaxed, PBE.

Calculated values
- Energy relative to the elements: 0.046 eV/atom
- Size of the total moment: 0.00 μB/cell

Cell lengths 7.4925, 11.9973, 12.9408 Å; angles 90.00, 90.00, 90.00 degrees
Space group Amm2 (No. 38)
Unique sites:
Ca: 0.0000 0.0000 0.0000
Ca: 0.2514 0.0000 0.2510
Nd: 0.0000 0.0000 0.5070
Nd: 0.0000 0.2472 0.8328
Nd: 0.2525 0.2449 0.5821
Nd: 0.2555 0.0000 0.7477
Nd: 0.5000 0.0000 0.5027
Nd: 0.5000 0.0000 0.9956
Nd: 0.5000 0.2428 0.8364

=====

13.
Nb5Tc4Ru: relaxed, PBE.

Calculated values
- Energy relative to the elements: -0.323 eV/atom
- Size of the total moment: 0.00 μB/cell

Cell lengths 3.1905, 3.1905, 15.9523 Å; angles 90.00, 90.00, 90.00 degrees
Space group P4/mmm (No. 123)
Unique sites:
Nb: 0.0000 0.0000 0.0000
Nb: 0.0000 0.0000 0.1997
Nb: 0.0000 0.0000 0.3980
Tc: 0.5000 0.5000 0.1000
Tc: 0.5000 0.5000 0.3012
Ru: 0.5000 0.5000 0.5000

=====

14.
SnSbN2: relaxed, PBE.

Calculated values
- Energy relative to the lowest polymorph listed for this composition: 0.000 kcal/mol of atoms
- Uncorrected formation energy: 0.245 eV per atom
- Size of the total moment: 0.00 μB/cell

Cell lengths 4.4662, 4.4670, 8.9303 Å; angles 93.75, 104.02, 103.26 degrees
Space group P1 (No. 1)
Unique sites:
Sn: 0.0000 0.0000 0.0000
Sb: 0.6284 0.4065 0.0440
N: 0.4752 0.9248 0.4681
N: 0.6638 0.8374 0.5452

=====

15.
NaHgPd: relaxed, PBE.

Calculated values
- Energy relative to the elements: -0.286 eV/atom
- Energy relative to the lowest polymorph listed for this composition: 0.000 kcal/mol of atoms
- Size of the total moment: 0.00 μB/cell

Cell lengths 5.6714, 5.9877, 7.5641 Å; angles 90.00, 90.00, 90.00 degrees
Space group Imma (No. 74)
Unique sites:
Na: 0.0000 0.2500 0.1103
Hg: 0.0000 0.0000 0.5000
Pd: 0.2500 0.2500 0.7500

=====

16.
Al4ReW: relaxed, PBE.

Calculated values
- Energy relative to the elements: 0.182 eV/atom
- Size of the total moment: 0.00 μB/cell

Cell lengths 7.0337, 7.0337, 7.0337 Å; angles 90.00, 90.00, 90.00 degrees
Space group F-43m (No. 216)
Unique sites:
Al: 0.1248 0.1248 0.1248
Re: 0.2500 0.2500 0.7500
W: 0.0000 0.0000 0.5000

=====

17.
SrLi3Pd4O12: relaxed, PBE.

Calculated values
- Uncorrected formation energy: -0.845 eV per atom
- Size of the total moment: 6.14 μB/cell

Cell lengths 7.5768, 7.5768, 7.5768 Å; angles 90.00, 90.00, 90.00 degrees
Space group Im-3 (No. 204)
Unique sites:
Sr: 0.0000 0.0000 0.0000
Li: 0.0000 0.0000 0.5000
Pd: 0.2500 0.2500 0.2500
O: 0.0000 0.3078 0.1762

=====

18.
BaCa3Sc: relaxed, PBE.

Calculated values
- Energy relative to the elements: 1.032 eV/atom
- Energy relative to the lowest polymorph listed for this composition: 13.453 kcal/mol of atoms
- Size of the total moment: 0.00 μB/cell

Cell lengths 5.8407, 5.8407, 5.8407 Å; angles 90.00, 90.00, 90.00 degrees
Space group Pm-3m (No. 221)
Unique sites:
Ba: 0.0000 0.0000 0.0000
Ca: 0.0000 0.0000 0.5000
Sc: 0.5000 0.5000 0.5000

=====

19.
YVS2: relaxed, PBE.

Calculated values
- Energy relative to the lowest polymorph listed for this composition: 1.950 kcal/mol of atoms
- Uncorrected formation energy: -0.981 eV per atom
- Size of the total moment: 0.00 μB/cell

Cell lengths 6.4225, 6.4225, 6.4225 Å; angles 90.00, 90.00, 90.00 degrees
Space group Fm-3m (No. 225)
Unique sites:
Y: 0.0000 0.0000 0.0000
V: 0.0000 0.0000 0.5000
S: 0.2500 0.2500 0.2500

=====

20.
Tb2Y3TmBi6: relaxed, PBE.

Calculated values
- Energy relative to the elements: -0.872 eV/atom
- Size of the total moment: 0.00 μB/cell

Cell lengths 7.7575, 13.4385, 7.7525 Å; angles 90.00, 109.47, 90.00 degrees
Space group C2/m (No. 12)
Unique sites:
Tb: 0.0000 0.1661 0.0000
Y: 0.0000 0.0000 0.5000
Y: 0.0000 0.3320 0.5000
Tm: 0.0000 0.5000 0.0000
Bi: 0.2472 0.5000 0.7500
Bi: 0.2481 0.3345 0.2485